DFT (PBE) results for a relaxed Ho4Mg3S8 crystal.

The total energy is -5.48 eV per atom. The value obtained for the density is 5.2 g/cm³.

a = 10.789 Å, b = 10.782 Å, c = 7.626 Å
α = 90.00°, β = 134.62°, γ = 90.00°
Space group C2/m (No. 12)
Inequivalent atoms, fractional coordinates:
Ho 0.000 0.000 0.000 [2 per cell]
Ho 0.000 0.500 0.500 [2 per cell]
Ho 0.250 0.250 0.000 [4 per cell]
Mg 0.000 0.000 0.500 [2 per cell]
Mg 0.250 0.250 0.500 [4 per cell]
S 0.000 0.244 0.500 [4 per cell]
S 0.000 0.253 0.000 [4 per cell]
S 0.245 0.000 0.500 [4 per cell]
S 0.248 0.000 0.991 [4 per cell]